Entry 1:
VASP calculation (PBE-GGA) on NdBiNO after structural relaxation.

Cell: 5.185 5.185 5.084 Å, 90.00 90.00 90.00°
Sites, in units of the cell vectors:
Nd  0.250  0.750  0.000
Nd  0.750  0.250  0.000
Bi  0.250  0.250  0.489
Bi  0.750  0.750  0.511
N  0.250  0.250  0.046
N  0.750  0.750  0.954
O  0.250  0.750  0.500
O  0.750  0.250  0.500

Summary:
- V (Å³/f.u.) = 68
- E_tot (eV per atom) = -6.52
- space-group type = P4/nmm (129)
- density (g/cm3) = 9.31

Entry 2:
VASP calculation (PBE-GGA) on TaNiMo after structural relaxation.

Cell: 6.300 4.019 7.297 Å, 90.00 90.00 90.00°
Sites, in units of the cell vectors:
Ta  0.021  0.250  0.181
Ta  0.479  0.750  0.681
Ta  0.521  0.250  0.319
Ta  0.979  0.750  0.819
Ni  0.149  0.250  0.554
Ni  0.351  0.750  0.054
Ni  0.649  0.250  0.946
Ni  0.851  0.750  0.446
Mo  0.236  0.750  0.367
Mo  0.264  0.250  0.867
Mo  0.736  0.750  0.133
Mo  0.764  0.250  0.633

Summary:
- V (Å³/f.u.) = 46
- energy of formation (eV per atom) = 0.234
- space-group type = Pnma (62)
- density (g/cm3) = 12.06

Entry 3:
VASP calculation (PBE-GGA) on AgNCl6 after structural relaxation.

Cell: 6.530 6.530 6.530 Å, 60.00 60.00 60.00°
Sites, in units of the cell vectors:
Ag  0.000  0.000  0.000
N  0.250  0.250  0.250
Cl  0.258  0.258  0.742
Cl  0.258  0.742  0.258
Cl  0.258  0.742  0.742
Cl  0.742  0.258  0.258
Cl  0.742  0.258  0.742
Cl  0.742  0.742  0.258

Summary:
- V (Å³/f.u.) = 197
- E_tot (eV per atom) = -1.67
- space-group type = F-43m (216)
- density (g/cm3) = 2.82

Entry 4:
VASP calculation (PBE-GGA) on Ba2Si2Au after structural relaxation.

Cell: 10.177 10.177 10.177 Å, 158.59 158.59 30.46°
Sites, in units of the cell vectors:
Ba  0.107  0.107  0.000
Ba  0.893  0.893  0.000
Si  0.250  0.750  0.500
Si  0.750  0.250  0.500
Au  0.500  0.500  0.000

Summary:
- V (Å³/f.u.) = 140
- E_tot (eV per atom) = -3.80
- space-group type = I4/mmm (139)
- density (g/cm3) = 6.24

Entry 5:
VASP calculation (PBE-GGA) on In3Mo2W4C3 after structural relaxation.

Cell: 5.431 5.431 14.376 Å, 100.91 100.91 59.94°
Sites, in units of the cell vectors:
In  0.080  0.920  0.750
In  0.250  0.415  0.249
In  0.415  0.250  0.749
In  0.585  0.750  0.251
In  0.750  0.585  0.751
In  0.920  0.080  0.250
Mo  0.368  0.527  0.582
Mo  0.473  0.632  0.918
Mo  0.527  0.368  0.082
Mo  0.632  0.473  0.418
W  0.020  0.200  0.580
W  0.146  0.307  0.920
W  0.200  0.020  0.080
W  0.307  0.146  0.420
W  0.693  0.854  0.580
W  0.800  0.980  0.920
W  0.854  0.693  0.080
W  0.980  0.800  0.420
C  0.000  0.500  0.500
C  0.160  0.670  0.000
C  0.330  0.840  0.500
C  0.500  0.000  0.000
C  0.670  0.160  0.500
C  0.840  0.330  0.000

Summary:
- V (Å³/f.u.) = 179
- E_tot (eV per atom) = -8.96
- space-group type = C2/c (15)
- density (g/cm3) = 12.12

Entry 6:
VASP calculation (PBE-GGA) on KHfAg3S4 after structural relaxation.

Cell: 6.276 7.781 10.194 Å, 90.00 106.68 90.00°
Sites, in units of the cell vectors:
K  0.113  0.250  0.365
K  0.887  0.750  0.635
Hf  0.135  0.250  0.796
Hf  0.865  0.750  0.204
Ag  0.289  0.547  0.024
Ag  0.289  0.953  0.024
Ag  0.420  0.750  0.276
Ag  0.580  0.250  0.724
Ag  0.711  0.047  0.976
Ag  0.711  0.453  0.976
S  0.057  0.250  0.019
S  0.161  0.750  0.411
S  0.348  0.503  0.775
S  0.348  0.997  0.775
S  0.652  0.003  0.225
S  0.652  0.497  0.225
S  0.839  0.250  0.589
S  0.943  0.750  0.981

Summary:
- V (Å³/f.u.) = 238
- E_tot (eV per atom) = -4.77
- space-group type = P2_1/m (11)
- density (g/cm3) = 4.66

Entry 7:
VASP calculation (PBE-GGA) on Li2Ac3Au3 after structural relaxation.

Cell: 7.026 7.026 15.463 Å, 90.00 90.00 144.69°
Sites, in units of the cell vectors:
Li  0.227  0.773  0.570
Li  0.227  0.773  0.930
Li  0.773  0.227  0.070
Li  0.773  0.227  0.430
Ac  0.068  0.932  0.114
Ac  0.068  0.932  0.386
Ac  0.342  0.658  0.250
Ac  0.658  0.342  0.750
Ac  0.932  0.068  0.614
Ac  0.932  0.068  0.886
Au  0.337  0.663  0.750
Au  0.394  0.606  0.046
Au  0.394  0.606  0.454
Au  0.606  0.394  0.546
Au  0.606  0.394  0.954
Au  0.663  0.337  0.250

Summary:
- V (Å³/f.u.) = 221
- E_tot (eV per atom) = -3.88
- space-group type = Cmcm (63)
- density (g/cm3) = 9.68

Entry 8:
VASP calculation (PBE-GGA) on TcNiAgGe after structural relaxation.

Cell: 4.341 4.341 4.341 Å, 60.00 60.00 60.00°
Sites, in units of the cell vectors:
Tc  0.000  0.000  0.000
Ni  0.500  0.500  0.500
Ag  0.750  0.750  0.750
Ge  0.250  0.250  0.250

Summary:
- V (Å³/f.u.) = 58
- E_tot (eV per atom) = -5.61
- space-group type = F-43m (216)
- density (g/cm3) = 9.68